Density functional theory data (PBE-GGA) for a relaxed Dy3HoSn2C crystal.

Computed properties:
Space-group type: Immm (71)
Density of states at the Fermi level: 0.1085 states/eV per atom
Crystal system: orthorhombic
E: -5.76 eV/atom
DFT formation energy: -669 meV/atom

Unit cell a=4.7789 b=4.7962 c=8.6611 alpha=106.07 beta=106.01 gamma=90.00
Sites, in units of the cell vectors:
Dy (0.0000, 0.5000, 0.0000)
Dy (0.8409, 0.8409, 0.6818)
Dy (0.1591, 0.1591, 0.3182)
Sn (0.3598, 0.3598, 0.7196)
Sn (0.6402, 0.6402, 0.2804)
Ho (0.5000, 0.0000, 0.0000)
C (0.0000, 0.0000, 0.0000)

***

Density functional theory data (PBE-GGA) for a relaxed DyHo3Sn2C crystal.

Computed properties:
Space-group type: Immm (71)
Density of states at the Fermi level: 0.1085 states/eV per atom
Crystal system: orthorhombic
E: -5.74 eV/atom
DFT formation energy: -661 meV/atom

Unit cell a=4.7923 b=4.7750 c=8.6292 alpha=106.06 beta=106.12 gamma=90.00
Sites, in units of the cell vectors:
Dy (0.5000, 0.0000, 0.0000)
Ho (0.1588, 0.1588, 0.3176)
Ho (0.8412, 0.8412, 0.6824)
Ho (0.0000, 0.5000, 0.0000)
Sn (0.6407, 0.6407, 0.2814)
Sn (0.3593, 0.3593, 0.7186)
C (0.0000, 0.0000, 0.0000)

***

Density functional theory data (PBE-GGA) for a relaxed DyHoTeC crystal.

Computed properties:
Space-group type: R3m (160)
Density of states at the Fermi level: 0.2342 states/eV per atom
Crystal system: trigonal
Uncorrected formation energy: -3.3 eV per formula unit
E: -6.22 eV/atom

Unit cell a=3.8015 b=3.8019 c=7.4215 alpha=90.01 beta=104.84 gamma=120.00
Sites, in units of the cell vectors:
C (0.3053, 0.5505, 0.8713)
Te (0.9678, 0.3821, 0.3648)
Ho (0.0926, 0.9442, 0.0521)
Dy (0.5121, 0.1540, 0.6814)

***

Density functional theory data (PBE-GGA) for a relaxed Dy2HoTlC crystal.

Computed properties:
Space-group type: P4/mmm (123)
Density of states at the Fermi level: 0.2546 states/eV per atom
Crystal system: tetragonal
E: -5.54 eV/atom
DFT formation energy: -461 meV/atom

Unit cell a=4.8953 b=4.9234 c=4.9234 alpha=90.00 beta=90.00 gamma=90.00
Sites, in units of the cell vectors:
Dy (0.0000, 0.5000, 0.0000)
Dy (0.0000, 0.0000, 0.5000)
Ho (0.5000, 0.0000, 0.0000)
Tl (0.5000, 0.5000, 0.5000)
C (0.0000, 0.0000, 0.0000)

***

Density functional theory data (PBE-GGA) for a relaxed Dy4C2I5 crystal.

Computed properties:
Space-group type: C2/m (12)
Density of states at the Fermi level: 0.0821 states/eV per atom
Crystal system: monoclinic
Uncorrected formation energy: -11.4 eV per formula unit
E: -5.09 eV/atom

Unit cell a=3.9135 b=8.5624 c=10.0816 alpha=102.45 beta=101.19 gamma=90.00
Sites, in units of the cell vectors:
I (0.8312, 0.6857, 0.6624)
I (0.1688, 0.3143, 0.3376)
I (0.5000, 0.0000, 0.0000)
I (0.1612, 0.8529, 0.3224)
I (0.8388, 0.1471, 0.6776)
C (0.4634, 0.4825, 0.9267)
C (0.5366, 0.5175, 0.0733)
Dy (0.3510, 0.4227, 0.7020)
Dy (0.0005, 0.6851, 0.0010)
Dy (0.9995, 0.3149, 0.9990)
Dy (0.6490, 0.5773, 0.2980)

***

Density functional theory data (PBE-GGA) for a relaxed Dy4C2I crystal.

Computed properties:
Space-group type: R-3m (166)
Density of states at the Fermi level: 0.6616 states/eV per atom
Crystal system: trigonal
Uncorrected formation energy: -3.7 eV per formula unit
E: -6.01 eV/atom

Unit cell a=3.6852 b=3.6852 c=13.8674 alpha=82.36 beta=82.36 gamma=60.00
Sites, in units of the cell vectors:
Dy (0.7276, 0.7276, 0.8172)
Dy (0.2724, 0.2724, 0.1828)
Dy (0.1247, 0.1247, 0.6258)
Dy (0.8753, 0.8753, 0.3742)
I (0.0000, 0.0000, 0.0000)
C (0.4239, 0.4239, 0.7284)
C (0.5761, 0.5761, 0.2716)